A geometry-optimized TlPRh structure, computed with PBE.

Cell lengths 4.0523, 4.0523, 7.8714 Å; angles 90.00, 90.00, 90.00 degrees
Last column: nearest neighbours and their distance in Å.
Element x y z (fractional)
Tl (0.2500, 0.2500, 0.1484)  4 P 3.26, 4 Rh 3.43
Tl (0.7500, 0.7500, 0.8516)  4 P 3.26, 4 Rh 3.43
P (0.2500, 0.2500, 0.6546)  4 Rh 2.36
P (0.7500, 0.7500, 0.3454)  4 Rh 2.36
Rh (0.2500, 0.7500, 0.5000)  4 P 2.36
Rh (0.7500, 0.2500, 0.5000)  4 P 2.36

Output
* formation enthalpy at 0 K: -373 meV/atom
* E above lowest polymorph: 0.000 eV/atom
* spin magnetization: 0.00 μB per formula unit
* space group: P4/nmm (129)

A geometry-optimized TlP2Rh2 structure, computed with PBE.

Cell lengths 7.1086, 7.1086, 7.1086 Å; angles 147.91, 147.91, 46.01 degrees
Last column: nearest neighbours and their distance in Å.
Element x y z (fractional)
Tl (0.0000, 0.0000, 0.0000)  8 P 3.42, 8 Rh 3.82
P (0.3479, 0.3479, 0.0000)  4 Rh 2.35
P (0.6521, 0.6521, 0.0000)  4 Rh 2.35
Rh (0.2500, 0.7500, 0.5000)  4 P 2.35
Rh (0.7500, 0.2500, 0.5000)  4 P 2.35

Output
* formation enthalpy at 0 K: -483 meV/atom
* E above lowest polymorph: 0.000 eV/atom
* spin magnetization: 0.00 μB per formula unit
* space group: I4/mmm (139)